[1]
A geometry-optimized Pr3GaCu2Ni9 structure, computed with PBE.

Properties
Spin magnetization in μB/atom: 0.0000
Space-group type: No. 164
Calculated formation energy in eV/atom: -0.010
Calculated density in Mg/m³: 7.16

extended XYZ file:
```
15
Lattice="5.860 0.000 0.000 -2.930 5.075 0.000 0.000 0.000 8.947" Properties=species:S:1:pos:R:3 pbc="T T T"
Pr 0.000 3.383 6.368
Pr 0.000 0.000 0.000
Pr 2.930 1.692 2.579
Ga 0.000 0.000 4.473
Cu 0.000 3.383 1.647
Cu 2.930 1.692 7.300
Ni 4.081 1.027 5.314
Ni 2.930 3.021 5.314
Ni 1.779 1.027 5.314
Ni 1.151 4.048 3.633
Ni 0.000 2.054 3.633
Ni -1.151 4.048 3.633
Ni 2.930 0.000 0.000
Ni -1.465 2.537 0.000
Ni 1.465 2.537 0.000
```

=====

[2]
A geometry-optimized Pr2GaCu2Ni5 structure, computed with PBE.

Properties
Spin magnetization in μB/atom: 0.0000
Space-group type: No. 127
Calculated formation energy in eV/atom: -0.186
Calculated density in Mg/m³: 8.23

extended XYZ file:
```
20
Lattice="-1.615 3.218 -0.681 -6.296 -1.785 6.494 5.372 4.032 6.316" Properties=species:S:1:pos:R:3 pbc="T T T"
Pr -3.316 -0.486 5.566
Pr 2.391 2.733 7.245
Pr 0.574 0.963 3.190
Pr -1.499 1.284 9.620
Ga 0.000 0.000 0.000
Ga -0.462 1.123 6.405
Cu 2.578 2.279 4.655
Cu -3.503 -0.032 8.156
Cu 0.860 2.460 9.584
Cu -1.785 -0.213 3.226
Ni -1.785 1.472 1.332
Ni -0.754 3.992 10.798
Ni 3.121 4.722 5.057
Ni -2.849 2.144 7.030
Ni -5.660 0.742 7.073
Ni 0.310 3.321 5.100
Ni -0.532 3.451 7.711
Ni -2.008 2.014 4.419
Ni -3.956 0.716 2.907
Ni 1.879 3.625 2.818
```

=====

[3]
A geometry-optimized PrGa2CuNi4 structure, computed with PBE.

Properties
Spin magnetization in μB/atom: 0.0000
Space-group type: No. 166
Calculated formation energy in eV/atom: -0.331
Calculated density in Mg/m³: 8.06

extended XYZ file:
```
8
Lattice="4.046 0.000 0.000 2.023 3.504 0.000 2.023 1.168 8.413" Properties=species:S:1:pos:R:3 pbc="T T T"
Pr 0.000 0.000 0.000
Ga 6.069 3.504 5.894
Ga 2.023 1.168 2.519
Cu 4.046 2.336 4.206
Ni 4.046 2.336 6.561
Ni 6.069 3.504 3.294
Ni 2.023 1.168 5.119
Ni 4.046 2.336 1.851
```